Record 1
{"formula": "LaCd3Au", "functional": "PBE", "state": "optimized geometry", "dos_ef_per_ev_fu": 5.43, "polymorph_energy_kj_per_mol_fu": 623, "mass_density_g_cm3": 4.6, "formation_enthalpy_0k_ev_per_atom": 0.89, "sg": "No. 221", "lattice": [[6.2467, 0.0000, 0.0000], [0.0000, 6.2467, 0.0000], [0.0000, 0.0000, 6.2467]], "species": ["Au", "Cd", "Cd", "La", "Cd"], "fractional_positions": [[0.5000, 0.5000, 0.5000], [0.5000, 0.0000, 0.0000], [0.0000, 0.5000, 0.0000], [0.0000, 0.0000, 0.0000], [0.0000, 0.0000, 0.5000]]}


Record 2
{"formula": "ScMo2Pb", "functional": "PBE", "state": "optimized geometry", "dos_ef_per_ev_fu": 5.65, "mass_density_g_cm3": 9.0, "formation_enthalpy_0k_ev_per_atom": 0.98, "sg": "No. 122", "lattice": [[7.6099, 0.0000, 0.0000], [0.0000, 7.6099, 0.0000], [3.8049, 3.8049, 2.8407]], "species": ["Sc", "Sc", "Pb", "Mo", "Mo", "Mo", "Mo", "Pb"], "fractional_positions": [[0.2500, 0.7500, 0.5000], [0.5000, 0.5000, 0.0000], [0.7500, 0.2500, 0.5000], [0.8750, 0.8779, 0.7500], [0.6279, 0.1250, 0.2500], [0.1221, 0.6250, 0.2500], [0.3750, 0.3721, 0.7500], [0.0000, 0.0000, 0.0000]]}


Record 3
{"formula": "TaIr2Br", "functional": "PBE", "state": "optimized geometry", "dos_ef_per_ev_fu": 2.73, "raw_formation_energy_ev_per_atom": 0.3506, "polymorph_energy_kj_per_mol_fu": 154, "mass_density_g_cm3": 16.1, "sg": "No. 12", "lattice": [[5.0980, -0.0045, 0.0081], [4.2503, 2.8151, 0.0081], [0.3224, 0.0969, 4.6335]], "species": ["Ir", "Br", "Ta", "Ir"], "fractional_positions": [[0.4776, 0.4776, 0.5164], [0.2500, 0.2500, 0.2500], [0.7500, 0.7500, 0.7500], [0.0224, 0.0224, 0.9836]]}


Record 4
{"formula": "TlCdGeTe3", "functional": "PBE", "state": "optimized geometry", "dos_ef_per_ev_fu": 2.16, "raw_formation_energy_ev_per_atom": -0.1891, "mass_density_g_cm3": 6.4, "sg": "No. 11", "lattice": [[-1.5020, 2.8298, 2.5746], [3.1780, -4.9682, 7.3146], [8.0454, 6.5210, -2.4736]], "species": ["Tl", "Cd", "Te", "Cd", "Te", "Ge", "Te", "Te", "Tl", "Ge", "Te", "Te"], "fractional_positions": [[0.7500, 0.8008, 0.7653], [0.2500, 0.0827, 0.6196], [0.2500, 0.1148, 0.8922], [0.7500, 0.9173, 0.3804], [0.7500, 0.2319, 0.5138], [0.2500, 0.6612, 0.0954], [0.7500, 0.8852, 0.1078], [0.7500, 0.4665, 0.1645], [0.2500, 0.1992, 0.2347], [0.7500, 0.3388, 0.9046], [0.2500, 0.7681, 0.4862], [0.2500, 0.5335, 0.8355]]}


Record 5
{"formula": "Y5SiBi2", "functional": "PBE", "state": "optimized geometry", "dos_ef_per_ev_fu": 10.36, "raw_formation_energy_ev_per_atom": -0.3836, "mass_density_g_cm3": 6.2, "sg": "No. 69", "lattice": [[5.9438, 0.0000, 0.0000], [-2.9719, 4.9880, 0.0000], [0.0000, 0.0000, 16.0841]], "species": ["Si", "Bi", "Y", "Si", "Bi", "Y", "Y", "Y", "Y", "Y", "Y", "Bi", "Y", "Bi", "Y", "Y"], "fractional_positions": [[0.7501, 0.5003, 0.7500], [0.7499, 0.4998, 0.4381], [0.4198, 0.8396, 0.3903], [0.2499, 0.4997, 0.2500], [0.2501, 0.5002, 0.9381], [0.0802, 0.1603, 0.1096], [0.2500, 0.5001, 0.7500], [0.0802, 0.1603, 0.3904], [0.5802, 0.1604, 0.6097], [0.5802, 0.1604, 0.8903], [0.4198, 0.8396, 0.1097], [0.2501, 0.5002, 0.5619], [0.7500, 0.4999, 0.2500], [0.7499, 0.4998, 0.0619], [0.9198, 0.8397, 0.6096], [0.9198, 0.8397, 0.8904]]}


Record 6
{"formula": "Mn2Ag2I7", "functional": "PBE", "state": "optimized geometry", "dos_ef_per_ev_fu": 6.02, "raw_formation_energy_ev_per_atom": -0.2713, "polymorph_energy_kj_per_mol_fu": 0, "mass_density_g_cm3": 4.4, "sg": "No. 15", "lattice": [[7.8955, 0.0594, -2.1088], [-1.3024, 7.7875, -2.1088], [-0.2657, -0.3162, 14.8992]], "species": ["I", "Ag", "Mn", "I", "I", "I", "Ag", "I", "I", "Ag", "I", "I", "Mn", "I", "I", "I", "Mn", "Mn", "I", "I", "I", "Ag"], "fractional_positions": [[0.3875, 0.4447, 0.8602], [0.2720, 0.6136, 0.0300], [0.8129, 0.8070, 0.2990], [0.9836, 0.3386, 0.5891], [0.0842, 0.9158, 0.7500], [0.9225, 0.5736, 0.8826], [0.3864, 0.7280, 0.4700], [0.0164, 0.6614, 0.4109], [0.6125, 0.5553, 0.1398], [0.6136, 0.2720, 0.5300], [0.0775, 0.4264, 0.1174], [0.9158, 0.0842, 0.2500], [0.1871, 0.1930, 0.7010], [0.5553, 0.6125, 0.6398], [0.3386, 0.9836, 0.0891], [0.4447, 0.3875, 0.3602], [0.8070, 0.8129, 0.7990], [0.1930, 0.1871, 0.2010], [0.4264, 0.0775, 0.6174], [0.6614, 0.0164, 0.9109], [0.5736, 0.9225, 0.3826], [0.7280, 0.3864, 0.9700]]}


Record 7
{"formula": "TmPd5Au6", "functional": "PBE", "state": "optimized geometry", "dos_ef_per_ev_fu": 5.50, "polymorph_energy_kj_per_mol_fu": 0, "mass_density_g_cm3": 15.1, "formation_enthalpy_0k_ev_per_atom": -0.34, "sg": "No. 12", "lattice": [[-7.9492, 2.0277, 3.9191], [-0.2135, -0.2971, 4.1314], [1.6574, 5.7688, 2.5824]], "species": ["Au", "Au", "Pd", "Pd", "Au", "Au", "Pd", "Pd", "Pd", "Tm", "Au", "Au"], "fractional_positions": [[0.7450, 0.4239, 0.6622], [0.2550, 0.9139, 0.6622], [0.0000, 0.6645, 0.6710], [0.5000, 0.8348, 0.3303], [0.2550, 0.5761, 0.3378], [0.7418, 0.7584, 0.0000], [0.5000, 0.1652, 0.6697], [0.5000, 0.5000, 0.0000], [0.0000, 0.3355, 0.3290], [0.0000, 0.0000, 0.0000], [0.2582, 0.2416, 0.0000], [0.7450, 0.0861, 0.3378]]}


Record 8
{"formula": "Pm13Tl2", "functional": "PBE", "state": "optimized geometry", "dos_ef_per_ev_fu": 22.68, "polymorph_energy_kj_per_mol_fu": 554, "mass_density_g_cm3": 6.5, "formation_enthalpy_0k_ev_per_atom": 0.32, "sg": "No. 166", "lattice": [[-1.6563, 7.4314, 4.7561], [-2.9611, -0.6458, 8.4501], [6.3612, 2.2514, 7.1697]], "species": ["Tl", "Tl", "Pm", "Pm", "Pm", "Pm", "Pm", "Pm", "Pm", "Pm", "Pm", "Pm", "Pm", "Pm", "Pm"], "fractional_positions": [[0.6309, 0.6309, 0.1072], [0.3691, 0.3691, 0.8928], [0.5997, 0.9981, 0.8025], [0.9981, 0.5997, 0.8025], [0.4003, 0.0019, 0.1975], [0.8864, 0.2548, 0.6041], [0.2548, 0.2548, 0.6041], [0.2548, 0.8864, 0.6041], [0.4003, 0.4003, 0.1975], [0.1136, 0.7452, 0.3959], [0.7452, 0.1136, 0.3959], [0.7452, 0.7452, 0.3959], [0.5000, 0.5000, 0.5000], [0.0019, 0.4003, 0.1975], [0.5997, 0.5997, 0.8025]]}


Record 9
{"formula": "TaRhW2", "functional": "PBE", "state": "optimized geometry", "dos_ef_per_ev_fu": 3.47, "polymorph_energy_kj_per_mol_fu": 11, "mass_density_g_cm3": 16.6, "formation_enthalpy_0k_ev_per_atom": -0.07, "sg": "No. 99", "lattice": [[3.2190, 0.0000, 0.0000], [0.0000, 3.2190, 0.0000], [0.0000, 0.0000, 6.2753]], "species": ["W", "Rh", "Ta", "W"], "fractional_positions": [[0.0000, 0.0000, 0.0065], [0.0000, 0.0000, 0.5059], [0.5000, 0.5000, 0.7484], [0.5000, 0.5000, 0.2392]]}


Record 10
{"formula": "Ag2PbBr2", "functional": "PBE", "state": "optimized geometry", "dos_ef_per_ev_fu": 0.39, "raw_formation_energy_ev_per_atom": -0.0353, "polymorph_energy_kj_per_mol_fu": 70, "mass_density_g_cm3": 7.2, "sg": "No. 139", "lattice": [[-4.3005, -2.2606, -0.4390], [0.7976, -0.5897, -4.7763], [0.7661, -6.4159, -1.5711]], "species": ["Ag", "Br", "Pb", "Ag", "Br"], "fractional_positions": [[0.3835, 0.3835, 0.2330], [0.2500, 0.7500, 0.5000], [0.0000, 0.0000, 0.0000], [0.6165, 0.6165, 0.7670], [0.7500, 0.2500, 0.5000]]}


Record 11
{"formula": "FeSbAsSe2", "functional": "PBE", "state": "optimized geometry", "dos_ef_per_ev_fu": 6.36, "raw_formation_energy_ev_per_atom": 0.9425, "polymorph_energy_kj_per_mol_fu": 302, "mass_density_g_cm3": 5.1, "sg": "No. 123", "lattice": [[5.0047, 0.0000, 0.0000], [0.0000, 5.3634, 0.0000], [0.0000, 0.0000, 5.0047]], "species": ["Se", "Se", "Fe", "As", "Sb"], "fractional_positions": [[0.5000, 0.0000, 0.0000], [0.0000, 0.0000, 0.5000], [0.5000, 0.5000, 0.5000], [0.0000, 0.0000, 0.0000], [0.0000, 0.5000, 0.0000]]}


Record 12
{"formula": "K2PdPt2O6", "functional": "PBE", "state": "optimized geometry", "dos_ef_per_ev_fu": 5.21, "raw_formation_energy_ev_per_atom": -0.7566, "mass_density_g_cm3": 6.7, "sg": "No. 12", "lattice": [[5.8013, -0.2439, 0.0661], [-3.0794, 4.9227, 0.0661], [-0.9603, -1.6506, 5.9577]], "species": ["O", "O", "K", "Pt", "O", "Pt", "O", "O", "O", "Pd", "K"], "fractional_positions": [[0.0357, 0.4040, 0.6672], [0.4040, 0.0357, 0.6672], [0.1552, 0.8448, 0.0000], [0.6649, 0.3351, 0.5000], [0.5960, 0.9643, 0.3328], [0.3351, 0.6649, 0.5000], [0.7186, 0.7186, 0.6552], [0.2814, 0.2814, 0.3448], [0.9643, 0.5960, 0.3328], [0.0000, 0.0000, 0.5000], [0.8448, 0.1552, 0.0000]]}


What is the formula in the sixth record? Mn2Ag2I7


Copy entry 12 word for word.
{"formula": "K2PdPt2O6", "functional": "PBE", "state": "optimized geometry", "dos_ef_per_ev_fu": 5.21, "raw_formation_energy_ev_per_atom": -0.7566, "mass_density_g_cm3": 6.7, "sg": "No. 12", "lattice": [[5.8013, -0.2439, 0.0661], [-3.0794, 4.9227, 0.0661], [-0.9603, -1.6506, 5.9577]], "species": ["O", "O", "K", "Pt", "O", "Pt", "O", "O", "O", "Pd", "K"], "fractional_positions": [[0.0357, 0.4040, 0.6672], [0.4040, 0.0357, 0.6672], [0.1552, 0.8448, 0.0000], [0.6649, 0.3351, 0.5000], [0.5960, 0.9643, 0.3328], [0.3351, 0.6649, 0.5000], [0.7186, 0.7186, 0.6552], [0.2814, 0.2814, 0.3448], [0.9643, 0.5960, 0.3328], [0.0000, 0.0000, 0.5000], [0.8448, 0.1552, 0.0000]]}